No. 1
Material: YCoO2F
Method: DFT, PBE+U
State: relaxed

abc: 4.415 4.415 4.216
angles: 90.00 90.00 90.00
Atoms (fractional coordinates):
Y 0.000 0.000 0.000
Co 0.500 0.500 0.500
O 0.000 0.500 0.000
O 0.500 0.000 0.000
F 0.000 0.000 0.500

E	-6.358	eV per atom
M_tot	3.06	μB per formula unit

No. 2
Material: ZnCoOF2
Method: DFT, PBE+U
State: relaxed

abc: 4.051 4.051 3.734
angles: 90.00 90.00 90.00
Atoms (fractional coordinates):
Zn 0.000 0.000 0.000
Co 0.500 0.500 0.500
O 0.500 0.500 0.000
F 0.000 0.500 0.500
F 0.500 0.000 0.500

E	-4.159	eV per atom
energy above the most stable polymorph in this dataset	0.00	eV/f.u.
M_tot	3.30	μB per formula unit

No. 3
Material: ZnCoOF2
Method: DFT, PBE+U
State: relaxed

abc: 3.903 3.903 4.056
angles: 90.00 90.00 90.00
Atoms (fractional coordinates):
Zn 0.000 0.000 0.000
Co 0.500 0.500 0.500
O 0.000 0.000 0.500
F 0.000 0.500 0.000
F 0.500 0.000 0.000

E	-4.092	eV per atom
energy above the most stable polymorph in this dataset	0.33	eV/f.u.
M_tot	2.99	μB per formula unit

No. 4
Material: ZrCoOF2
Method: DFT, PBE+U
State: relaxed

abc: 3.950 3.950 3.963
angles: 90.00 90.00 90.00
Atoms (fractional coordinates):
Zr 0.000 0.000 0.000
Co 0.500 0.500 0.500
O 0.500 0.500 0.000
F 0.000 0.500 0.500
F 0.500 0.000 0.500

E	-5.819	eV per atom
energy above the most stable polymorph in this dataset	3.06	eV/f.u.
M_tot	1.02	μB per formula unit

No. 5
Material: ZrCoOF2
Method: DFT, PBE+U
State: relaxed

abc: 4.329 4.329 4.074
angles: 90.00 90.00 90.00
Atoms (fractional coordinates):
Zr 0.000 0.000 0.000
Co 0.500 0.500 0.500
O 0.000 0.000 0.500
F 0.000 0.500 0.000
F 0.500 0.000 0.000

E	-6.431	eV per atom
energy above the most stable polymorph in this dataset	0.00	eV/f.u.
M_tot	2.54	μB per formula unit

No. 6
Material: CoOsF3
Method: DFT, PBE+U
State: relaxed

abc: 4.197 4.197 4.197
angles: 90.00 90.00 90.00
Atoms (fractional coordinates):
Co 0.000 0.000 0.000
Os 0.500 0.500 0.500
F 0.000 0.500 0.500
F 0.500 0.000 0.500
F 0.500 0.500 0.000

E	-4.483	eV per atom
energy above the most stable polymorph in this dataset	0.38	eV/f.u.
M_tot	3.52	μB per formula unit

No. 7
Material: CoOsF2
Method: DFT, PBE+U
State: relaxed

abc: 5.760 5.760 5.760
angles: 128.06 128.06 76.53
Atoms (fractional coordinates):
Co 0.000 0.000 0.000
Co 0.750 0.250 0.500
Os 0.250 0.750 0.500
Os 0.500 0.500 0.000
F 0.067 0.625 0.942
F 0.375 0.317 0.442
F 0.683 0.125 0.058
F 0.875 0.933 0.558

E	-4.685	eV per atom
energy above the most stable polymorph in this dataset	3.87	eV/f.u.
M_tot	3.00	μB per formula unit

No. 8
Material: CoOsF2
Method: DFT, PBE+U
State: relaxed

abc: 8.946 8.946 8.946
angles: 17.23 17.23 17.23
Atoms (fractional coordinates):
Co 0.000 0.000 0.000
Os 0.500 0.500 0.500
F 0.066 0.066 0.066
F 0.934 0.934 0.934

E	-5.287	eV per atom
energy above the most stable polymorph in this dataset	1.47	eV/f.u.
M_tot	4.16	μB per formula unit

No. 9
Material: CoOs3F
Method: DFT, PBE+U
State: relaxed

abc: 4.464 4.464 4.464
angles: 90.00 90.00 90.00
Atoms (fractional coordinates):
Co 0.000 0.000 0.000
Os 0.000 0.000 0.500
Os 0.000 0.500 0.000
Os 0.500 0.000 0.000
F 0.500 0.500 0.500

E	-5.925	eV per atom
energy above the most stable polymorph in this dataset	1.80	eV/f.u.
M_tot	6.54	μB per formula unit

No. 10
Material: CoOsF3
Method: DFT, PBE+U
State: relaxed

abc: 4.062 4.062 4.062
angles: 90.00 90.00 90.00
Atoms (fractional coordinates):
Co 0.000 0.000 0.000
Os 0.500 0.500 0.500
F 0.000 0.000 0.500
F 0.000 0.500 0.000
F 0.500 0.000 0.000

E	-4.559	eV per atom
energy above the most stable polymorph in this dataset	0.00	eV/f.u.
M_tot	6.61	μB per formula unit

No. 11
Material: CoOsF6
Method: DFT, PBE+U
State: relaxed

abc: 5.053 5.053 9.447
angles: 90.00 90.00 120.00
Atoms (fractional coordinates):
Co 0.333 0.667 0.250
Co 0.667 0.333 0.750
Os 0.000 0.000 0.000
Os 0.000 0.000 0.500
F 0.015 0.325 0.122
F 0.015 0.690 0.378
F 0.310 0.325 0.378
F 0.310 0.985 0.122
F 0.325 0.015 0.622
F 0.325 0.310 0.878
F 0.675 0.690 0.122
F 0.675 0.985 0.378
F 0.690 0.015 0.878
F 0.690 0.675 0.622
F 0.985 0.310 0.622
F 0.985 0.675 0.878

E	-5.216	eV per atom
M_tot	5.00	μB per formula unit

No. 12
Material: CoOsF2
Method: DFT, PBE+U
State: relaxed

abc: 4.181 4.181 4.181
angles: 60.00 60.00 60.00
Atoms (fractional coordinates):
Co 0.000 0.000 0.000
Os 0.500 0.500 0.500
F 0.250 0.250 0.250
F 0.750 0.750 0.750

E	-4.485	eV per atom
energy above the most stable polymorph in this dataset	4.67	eV/f.u.
M_tot	5.59	μB per formula unit

No. 13
Material: CoOs3F
Method: DFT, PBE+U
State: relaxed

abc: 4.176 4.176 4.176
angles: 90.00 90.00 90.00
Atoms (fractional coordinates):
Co 0.000 0.000 0.000
Os 0.000 0.500 0.500
Os 0.500 0.000 0.500
Os 0.500 0.500 0.000
F 0.500 0.500 0.500

E	-6.286	eV per atom
energy above the most stable polymorph in this dataset	0.00	eV/f.u.
M_tot	2.52	μB per formula unit

No. 14
Material: CoOsF2
Method: DFT, PBE+U
State: relaxed

abc: 7.389 7.389 7.389
angles: 21.19 21.19 21.19
Atoms (fractional coordinates):
Co 0.000 0.000 0.000
Os 0.500 0.500 0.500
F 0.404 0.404 0.404
F 0.596 0.596 0.596

E	-5.653	eV per atom
energy above the most stable polymorph in this dataset	0.00	eV/f.u.
M_tot	1.95	μB per formula unit

No. 15
Material: Co3OsF
Method: DFT, PBE+U
State: relaxed

abc: 4.012 4.012 4.012
angles: 90.00 90.00 90.00
Atoms (fractional coordinates):
Co 0.000 0.000 0.500
Co 0.000 0.500 0.000
Co 0.500 0.000 0.000
Os 0.500 0.500 0.500
F 0.000 0.000 0.000

E	-5.104	eV per atom
energy above the most stable polymorph in this dataset	0.00	eV/f.u.
M_tot	8.18	μB per formula unit

No. 16
Material: Co3OsF
Method: DFT, PBE+U
State: relaxed

abc: 4.634 4.634 4.634
angles: 90.00 90.00 90.00
Atoms (fractional coordinates):
Co 0.000 0.000 0.500
Co 0.000 0.500 0.000
Co 0.500 0.000 0.000
Os 0.000 0.000 0.000
F 0.500 0.500 0.500

E	-4.286	eV per atom
energy above the most stable polymorph in this dataset	4.09	eV/f.u.
M_tot	7.63	μB per formula unit

No. 17
Material: CoOs2PbF
Method: DFT, PBE+U
State: relaxed

abc: 5.106 5.106 4.353
angles: 90.00 90.00 90.00
Atoms (fractional coordinates):
Co 0.000 0.000 0.000
Os 0.000 0.500 0.500
Os 0.500 0.000 0.500
Pb 0.500 0.500 0.500
F 0.500 0.500 0.000

E	-4.573	eV per atom
M_tot	5.97	μB per formula unit

No. 18
Material: Co2OsPdF
Method: DFT, PBE+U
State: relaxed

abc: 4.741 4.741 3.865
angles: 90.00 90.00 90.00
Atoms (fractional coordinates):
Co 0.000 0.500 0.000
Co 0.500 0.000 0.000
Os 0.000 0.000 0.500
Pd 0.500 0.500 0.000
F 0.500 0.500 0.500

E	-4.364	eV per atom
M_tot	7.43	μB per formula unit

No. 19
Material: Rb2CoOsF6
Method: DFT, PBE+U
State: relaxed

abc: 6.024 6.024 6.024
angles: 120.84 120.84 88.55
Atoms (fractional coordinates):
Rb 0.250 0.750 0.500
Rb 0.750 0.250 0.500
Co 0.000 0.000 0.000
Os 0.500 0.500 0.000
F 0.249 0.249 0.497
F 0.249 0.751 0.000
F 0.253 0.253 0.000
F 0.747 0.747 0.000
F 0.751 0.249 0.000
F 0.751 0.751 0.503

E	-4.808	eV per atom
M_tot	3.06	μB per formula unit

No. 20
Material: CoOsSF2
Method: DFT, PBE+U
State: relaxed

abc: 4.135 4.135 4.827
angles: 90.00 90.00 90.00
Atoms (fractional coordinates):
Co 0.000 0.000 0.000
Os 0.500 0.500 0.500
S 0.500 0.500 0.000
F 0.000 0.500 0.500
F 0.500 0.000 0.500

E	-4.950	eV per atom
M_tot	2.98	μB per formula unit

No. 21
Material: CoTcOsF2
Method: DFT, PBE+U
State: relaxed

abc: 3.613 3.613 6.673
angles: 90.00 90.00 90.00
Atoms (fractional coordinates):
Co 0.000 0.000 0.000
Tc 0.000 0.000 0.500
Os 0.500 0.500 0.500
F 0.000 0.500 0.000
F 0.500 0.000 0.000

E	-6.011	eV per atom
M_tot	2.18	μB per formula unit

No. 22
Material: CoTeOsF2
Method: DFT, PBE+U
State: relaxed

abc: 3.811 3.811 5.796
angles: 90.00 90.00 90.00
Atoms (fractional coordinates):
Co 0.000 0.000 0.000
Te 0.500 0.500 0.500
Os 0.000 0.000 0.500
F 0.000 0.500 0.000
F 0.500 0.000 0.000

E	-5.084	eV per atom
energy above the most stable polymorph in this dataset	0.00	eV/f.u.
M_tot	2.61	μB per formula unit

No. 23
Material: CoTeOsF2
Method: DFT, PBE+U
State: relaxed

abc: 4.179 4.179 5.143
angles: 90.00 90.00 90.00
Atoms (fractional coordinates):
Co 0.000 0.000 0.000
Te 0.500 0.500 0.500
Os 0.500 0.500 0.000
F 0.000 0.500 0.500
F 0.500 0.000 0.500

E	-4.518	eV per atom
energy above the most stable polymorph in this dataset	2.83	eV/f.u.
M_tot	3.29	μB per formula unit

No. 24
Material: TiCoOsF2
Method: DFT, PBE+U
State: relaxed

abc: 3.734 3.734 5.631
angles: 90.00 90.00 90.00
Atoms (fractional coordinates):
Ti 0.000 0.000 0.000
Co 0.000 0.000 0.500
Os 0.500 0.500 0.500
F 0.000 0.500 0.000
F 0.500 0.000 0.000

E	-6.118	eV per atom
M_tot	3.08	μB per formula unit

No. 25
Material: CoP3F
Method: DFT, PBE+U
State: relaxed

abc: 4.287 4.287 4.287
angles: 90.00 90.00 90.00
Atoms (fractional coordinates):
Co 0.000 0.000 0.000
P 0.000 0.000 0.500
P 0.000 0.500 0.000
P 0.500 0.000 0.000
F 0.500 0.500 0.500

E	-4.120	eV per atom
energy above the most stable polymorph in this dataset	0.00	eV/f.u.
M_tot	1.03	μB per formula unit

No. 26
Material: Co2PF
Method: DFT, PBE+U
State: relaxed

abc: 3.862 3.862 3.862
angles: 60.00 60.00 60.00
Atoms (fractional coordinates):
Co 0.250 0.250 0.250
Co 0.750 0.750 0.750
P 0.000 0.000 0.000
F 0.500 0.500 0.500

E	-4.242	eV per atom
energy above the most stable polymorph in this dataset	1.67	eV/f.u.
M_tot	1.59	μB per formula unit

No. 27
Material: CoPF2
Method: DFT, PBE+U
State: relaxed

abc: 9.270 9.270 9.270
angles: 17.93 17.93 17.93
Atoms (fractional coordinates):
Co 0.000 0.000 0.000
P 0.500 0.500 0.500
F 0.375 0.375 0.375
F 0.625 0.625 0.625

E	-4.629	eV per atom
energy above the most stable polymorph in this dataset	0.00	eV/f.u.
M_tot	2.91	μB per formula unit

No. 28
Material: Co2P2F
Method: DFT, PBE+U
State: relaxed

abc: 6.235 6.235 6.235
angles: 147.38 147.38 46.80
Atoms (fractional coordinates):
Co 0.127 0.127 0.000
Co 0.873 0.873 0.000
P 0.250 0.750 0.500
P 0.750 0.250 0.500
F 0.500 0.500 0.000

E	-4.599	eV per atom
energy above the most stable polymorph in this dataset	0.15	eV/f.u.
M_tot	3.00	μB per formula unit